No. 1
! CsBSe2, optimized geometry, DFT PBE-GGA; values from VASP
&SYSTEM
  ibrav = 0, nat = 4, ntyp = 3
/
ATOMIC_SPECIES
Cs 132.91 Cs.upf
B 10.81 B.upf
Se 78.96 Se.upf
ATOMIC_POSITIONS crystal
Cs 0.000 0.000 0.000
B 0.333 0.667 0.474
Se 0.333 0.667 0.700
Se 0.667 0.333 0.364
CELL_PARAMETERS angstrom
3.800 0.000 0.000
-1.900 3.291 0.000
0.000 0.000 8.309
! Total moment (μB per cell): 0.00
! Formation energy (no corrections) (eV/atom): -0.06
! Final energy (eV per cell): -14.74

---

No. 2
! CsBSe2, optimized geometry, DFT PBE-GGA; values from VASP
&SYSTEM
  ibrav = 0, nat = 4, ntyp = 3
/
ATOMIC_SPECIES
Cs 132.91 Cs.upf
B 10.81 B.upf
Se 78.96 Se.upf
ATOMIC_POSITIONS crystal
Cs 0.000 0.000 0.000
B 0.500 0.500 0.000
Se 0.348 0.848 0.500
Se 0.652 0.152 0.500
CELL_PARAMETERS angstrom
-1.614 3.462 4.892
1.614 -3.462 4.892
1.614 3.462 -4.892
! Total moment (μB per cell): 0.00
! Formation energy (no corrections) (eV/atom): 0.00
! Final energy (eV per cell): -14.49

---

no.,volume (Å³/f.u.)
1,103.9
2,109.3